Here is crystalline NaTcBiN2 at its relaxed geometry from the Alexandria database. Energies are from PBE.

Output
VASP energy: -20.3 eV per formula unit

a = 4.2278 Å, b = 4.2278 Å, c = 4.8230 Å
α = 90.00°, β = 90.00°, γ = 90.00°
With the nearest neighbours (Å) after each atom.
Sites, in units of the cell vectors:
Na 0.0000 0.0000 0.0000  4 N 2.11
Tc 0.0000 0.0000 0.5000  2 Na 2.41
Bi 0.5000 0.5000 0.5000  4 Tc 2.99, 8 N 3.21
N 0.0000 0.5000 0.0000  2 Na 2.11
N 0.5000 0.0000 0.0000  2 Na 2.11

---

Here is crystalline NaBiTeN2 at its relaxed geometry from the Alexandria database. Energies are from PBE.

Output
excess energy over the best structure of this formula in the dataset: 531 meV/atom

a = 4.5792 Å, b = 4.5792 Å, c = 5.8470 Å
α = 90.00°, β = 90.00°, γ = 90.00°
With the nearest neighbours (Å) after each atom.
Sites, in units of the cell vectors:
Na 0.0000 0.0000 0.0000  4 N 2.29
Bi 0.5000 0.5000 0.5000  4 Te 3.24
Te 0.0000 0.0000 0.5000  2 Na 2.92, 4 Bi 3.24
N 0.0000 0.5000 0.0000  2 Na 2.29
N 0.5000 0.0000 0.0000  2 Na 2.29

---

Here is crystalline NaBiTeN2 at its relaxed geometry from the Alexandria database. Energies are from PBE.

Output
excess energy over the best structure of this formula in the dataset: 0 meV/atom

a = 4.6088 Å, b = 4.6088 Å, c = 6.1459 Å
α = 90.00°, β = 90.00°, γ = 90.00°
With the nearest neighbours (Å) after each atom.
Sites, in units of the cell vectors:
Na 0.0000 0.0000 0.0000  4 Te 3.26
Bi 0.5000 0.5000 0.5000  4 N 2.30
Te 0.5000 0.5000 0.0000  2 Bi 3.07, 4 Na 3.26
N 0.0000 0.5000 0.5000  2 Bi 2.30
N 0.5000 0.0000 0.5000  2 Bi 2.30